(1)
This record from the Alexandria database describes KNdSCl after structural relaxation. The functional is PBE.

Geometry as POSCAR:
```
KNdSCl
1.0
-1.782 2.763 -2.386
-0.826 -3.947 -0.495
-4.414 0.067 6.832
K Nd S Cl
1 1 1 1
Cartesian
-3.818 0.829 3.159
-1.427 -3.442 -0.114
-4.979 -1.258 5.067
-3.493 1.175 -0.141
```

Calculated values
Energy   -18.6 eV per formula unit
Raw formation energy   -1690 meV per atom



(2)
This record from the Alexandria database describes PrDy3Y2Bi6 after structural relaxation. The functional is PBE.

Geometry as POSCAR:
```
PrDy3Y2Bi6
1.0
-2.386 -2.756 2.651
-2.465 -4.809 -7.216
9.485 -3.012 1.574
Pr Dy Y Bi
1 3 2 6
Cartesian
-1.193 -1.378 1.326
-2.426 -3.782 -2.282
3.942 -5.122 2.055
0.693 -5.455 -5.046
2.681 -7.502 -1.553
1.953 -3.075 -1.438
3.220 -7.304 -4.693
0.128 -5.644 -1.919
1.414 -3.273 1.702
-0.626 -1.244 -1.857
5.260 -9.333 -1.134
4.506 -4.933 -1.072
```

Calculated values
Energy   -65.4 eV per formula unit
Energy relative to the elements   -885 meV/atom



(3)
This record from the Alexandria database describes SmGdTcAu after structural relaxation. The functional is PBE.

Geometry as POSCAR:
```
SmGdTcAu
1.0
-1.881 -2.185 4.120
0.728 -4.912 0.796
3.083 -1.523 3.669
Gd Au Tc Sm
1 1 1 1
Cartesian
1.447 -6.464 6.439
0.000 0.000 0.000
0.965 -4.310 4.293
0.482 -2.155 2.146
```

Calculated values
Energy   -33.5 eV per formula unit
Energy relative to the elements   -275 meV/atom



(4)
This record from the Alexandria database describes Mg3SiH after structural relaxation. The functional is PBE.

Geometry as POSCAR:
```
Mg3SiH
1.0
4.467 0.522 0.043
-1.394 7.310 1.514
-0.133 -1.281 5.219
Mg Si H
6 2 2
Cartesian
0.401 2.230 3.774
2.785 1.501 5.640
0.637 0.142 1.439
2.539 4.321 3.003
2.304 6.409 5.338
0.156 5.050 1.137
0.223 5.091 3.984
2.717 1.460 2.793
0.056 0.016 5.161
2.885 6.535 1.616
```

Calculated values
Energy   -13.5 eV per formula unit
E above lowest polymorph   0 meV per atom



(5)
This record from the Alexandria database describes TaTcHg2 after structural relaxation. The functional is PBE.

Geometry as POSCAR:
```
TaTcHg2
1.0
4.755 0.000 0.000
0.000 2.836 0.018
0.000 1.451 5.485
Hg Ta Tc
2 1 1
Cartesian
0.000 4.113 5.475
0.000 2.318 2.779
2.377 1.072 1.376
2.377 3.215 4.127
```

Calculated values
Energy   -20.7 eV per formula unit
Energy relative to the elements   536 meV/atom
E above lowest polymorph   310 meV per atom



(6)
This record from the Alexandria database describes Ac4Bi2PN2 after structural relaxation. The functional is PBE.

Geometry as POSCAR:
```
Ac4Bi2PN2
1.0
4.334 0.000 0.000
0.000 9.436 -0.042
-2.167 -3.700 7.448
Ac Bi P N
4 2 1 2
Cartesian
0.000 -0.355 3.258
2.167 6.091 4.149
2.167 7.349 0.306
0.000 -1.613 7.101
0.000 4.440 1.461
2.167 1.296 5.946
0.000 0.000 0.000
2.167 7.978 2.589
0.000 -2.243 4.818
```

Calculated values
Energy   -55.9 eV per formula unit
Raw formation energy   -1069 meV per atom



Question: Which value of energy does entry 5 give?
Answer: -20.7 eV per formula unit



Question: Which value of energy does entry 3 give?
Answer: -33.5 eV per formula unit



Question: energy of number 3 (SmGdTcAu)?
Answer: -33.5 eV per formula unit